{"formula": "CuSn6Au", "functional": "PBE", "state": "relaxed", "e_form_ev_per_atom": 0.0192, "volume_a3_per_atom": 27.48, "lattice": [[6.590, -4.746, 0.000], [6.590, 4.746, 0.000], [-6.558, 0.000, 7.027]], "species": ["Cu", "Cu", "Sn", "Sn", "Sn", "Sn", "Sn", "Sn", "Sn", "Sn", "Sn", "Sn", "Sn", "Sn", "Au", "Au"], "fractional_positions": [[0.000, 0.500, 0.000], [0.500, 0.000, 0.000], [0.001, 0.687, 0.330], [0.158, 0.837, 0.153], [0.163, 0.842, 0.847], [0.313, 0.999, 0.670], [0.337, 0.337, 0.157], [0.359, 0.359, 0.493], [0.641, 0.641, 0.507], [0.663, 0.663, 0.843], [0.687, 0.001, 0.330], [0.837, 0.158, 0.153], [0.842, 0.163, 0.847], [0.999, 0.313, 0.670], [0.000, 0.500, 0.500], [0.500, 0.000, 0.500]]}

{"formula": "Cu4SnAu7", "functional": "PBE", "state": "relaxed", "e_form_ev_per_atom": 0.1239, "volume_a3_per_atom": 18.36, "lattice": [[5.618, -2.508, 0.000], [5.618, 2.508, 0.000], [-5.153, 0.000, 7.819]], "species": ["Cu", "Cu", "Cu", "Cu", "Sn", "Au", "Au", "Au", "Au", "Au", "Au", "Au"], "fractional_positions": [[0.068, 0.068, 0.272], [0.213, 0.213, 0.828], [0.787, 0.787, 0.172], [0.932, 0.932, 0.728], [0.500, 0.500, 0.500], [0.000, 0.000, 0.500], [0.145, 0.145, 0.058], [0.288, 0.288, 0.603], [0.426, 0.426, 0.149], [0.574, 0.574, 0.851], [0.712, 0.712, 0.397], [0.855, 0.855, 0.942]]}